ZnSnI3: optimized geometry, PBE.

Results
Formation energy without anion corrections ... -0.0253 eV per atom
Energy relative to the lowest polymorph listed for this composition ... 0.028 eV/atom
Calculated total energy ... -10.05 eV for the cell shown
Magnetization ... 0.52 μB/f.u.

Cell and atoms, written as CIF:
```
data_ZnSnI3
_space_group_name_H-M_alt 'P m -3 m'
_space_group_IT_number 221
_space_group_name_Hall '-P 4 2 3'
_cell_length_a 6.0475
_cell_length_b 6.0475
_cell_length_c 6.0475
_cell_angle_alpha 90.00
_cell_angle_beta 90.00
_cell_angle_gamma 90.00
loop_
_atom_site_label
_atom_site_fract_x
_atom_site_fract_y
_atom_site_fract_z
Zn1 0.0000 0.0000 0.0000
Sn1 0.5000 0.5000 0.5000
I1 0.0000 0.5000 0.5000
```